1.
Cu2AgHgBr6 | PBE-GGA | optimized geometry

Calculated values
The space group is C2/c, No. 15. The value obtained for the raw formation energy is -32 kJ per mole of atoms.

a = 6.9150 Å, b = 9.2986 Å, c = 9.2986 Å
α = 87.23°, β = 78.69°, γ = 78.69°
Closest atoms and distances in Å follow each position.
Sites, in units of the cell vectors:
1 Br 0.8709 0.0317 0.2067  1 Cu 2.43, 1 Ag 2.68
2 Hg 0.2500 0.2800 0.7200  2 Br 2.65
3 Br 0.1170 0.6186 0.1332  1 Cu 2.45, 1 Hg 2.65
4 Cu 0.2991 0.3893 0.2232  4 Br 2.42-2.45
5 Ag 0.7500 0.0906 0.9094  2 Br 2.68
6 Br 0.3988 0.5630 0.7084  2 Cu 2.42-2.43
7 Br 0.6170 0.1332 0.6186  1 Cu 2.45, 1 Hg 2.65
8 Br 0.3709 0.2067 0.0317  1 Cu 2.43, 1 Ag 2.68
9 Br 0.8830 0.3814 0.8668  1 Cu 2.45, 1 Hg 2.65
10 Br 0.1012 0.2916 0.4370  2 Cu 2.42-2.43
11 Br 0.1291 0.9683 0.7933  1 Cu 2.43, 1 Ag 2.68
12 Cu 0.7009 0.6107 0.7768  4 Br 2.42-2.45
13 Ag 0.2500 0.9094 0.0906  2 Br 2.68
14 Br 0.6012 0.4370 0.2916  2 Cu 2.42-2.43
15 Cu 0.2009 0.7768 0.6107  4 Br 2.42-2.45
16 Br 0.8988 0.7084 0.5630  2 Cu 2.42-2.43
17 Br 0.3830 0.8668 0.3814  1 Cu 2.45, 1 Hg 2.65
18 Cu 0.7991 0.2232 0.3893  4 Br 2.42-2.45
19 Hg 0.7500 0.7200 0.2800  2 Br 2.65
20 Br 0.6291 0.7933 0.9683  1 Cu 2.43, 1 Ag 2.68

2.
CuAg2IBr2 | PBE-GGA | optimized geometry

Calculated values
The space group is Cmc2_1, No. 36. The value obtained for the raw formation energy is -27 kJ per mole of atoms.

a = 7.2251 Å, b = 7.6578 Å, c = 7.5827 Å
α = 120.33°, β = 90.00°, γ = 90.00°
Closest atoms and distances in Å follow each position.
Sites, in units of the cell vectors:
1 I 0.3355 0.8553 0.0000  2 Cu 2.61-2.63, 2 Ag 2.83
2 Br 0.7948 0.8301 0.3144  1 Cu 2.48, 3 Ag 2.75-2.77
3 Cu 0.6980 0.8298 0.0000  2 Br 2.48, 2 I 2.61-2.63
4 Br 0.2948 0.4843 0.3144  1 Cu 2.48, 3 Ag 2.75-2.77
5 Cu 0.1980 0.1702 0.0000  2 Br 2.48, 2 I 2.61-2.63
6 Ag 0.6750 0.1663 0.6716  3 Br 2.75-2.77, 1 I 2.83
7 Ag 0.6750 0.4947 0.3284  3 Br 2.75-2.77, 1 I 2.83
8 Ag 0.1750 0.8337 0.3284  3 Br 2.75-2.77, 1 I 2.83
9 Ag 0.1750 0.5053 0.6716  3 Br 2.75-2.77, 1 I 2.83
10 Br 0.2948 0.1699 0.6856  1 Cu 2.48, 3 Ag 2.75-2.77
11 Br 0.7948 0.5157 0.6856  1 Cu 2.48, 3 Ag 2.75-2.77
12 I 0.8355 0.1447 0.0000  2 Cu 2.61-2.63, 2 Ag 2.83

3.
Cu2AgI2Br | PBE-GGA | optimized geometry

Calculated values
The space group is Cmc2_1, No. 36. The value obtained for the raw formation energy is -20 kJ per mole of atoms.

a = 7.1380 Å, b = 7.5440 Å, c = 7.4785 Å
α = 120.29°, β = 90.00°, γ = 90.00°
Closest atoms and distances in Å follow each position.
Sites, in units of the cell vectors:
1 Cu 0.8029 0.8316 0.3319  1 Br 2.51, 3 I 2.62
2 Ag 0.8205 0.1657 0.0000  2 Br 2.77-2.78, 2 I 2.84
3 I 0.1698 0.4814 0.6485  3 Cu 2.62, 1 Ag 2.84
4 Cu 0.3029 0.5003 0.3319  1 Br 2.51, 3 I 2.62
5 Br 0.2072 0.1866 0.0000  2 Cu 2.51, 2 Ag 2.77-2.78
6 Ag 0.3205 0.8343 0.0000  2 Br 2.77-2.78, 2 I 2.84
7 Br 0.7072 0.8134 0.0000  2 Cu 2.51, 2 Ag 2.77-2.78
8 Cu 0.3029 0.1684 0.6681  1 Br 2.51, 3 I 2.62
9 I 0.1698 0.8329 0.3515  3 Cu 2.62, 1 Ag 2.84
10 I 0.6698 0.1671 0.6485  3 Cu 2.62, 1 Ag 2.84
11 Cu 0.8029 0.4997 0.6681  1 Br 2.51, 3 I 2.62
12 I 0.6698 0.5186 0.3515  3 Cu 2.62, 1 Ag 2.84

4.
CuAgIBr | PBE-GGA | optimized geometry

Calculated values
The space group is Pmm2, No. 25. The value obtained for the raw formation energy is -22 kJ per mole of atoms.

a = 4.3030 Å, b = 4.3620 Å, c = 6.3033 Å
α = 89.96°, β = 90.00°, γ = 90.00°
Closest atoms and distances in Å follow each position.
Sites, in units of the cell vectors:
1 I 0.5000 0.4498 0.2902  2 Cu 2.61, 2 Ag 2.84
2 Br 0.0000 0.9490 0.7302  2 Cu 2.54, 2 Ag 2.75
3 Cu 0.5000 0.9495 0.5166  2 Br 2.54, 2 I 2.61
4 Ag 0.0000 0.4484 0.9960  2 Br 2.75, 2 I 2.84

| no. | magnetization (μB per cell) |
| --- | --- |
| 1 | 1.022 |
| 2 | 0.000 |
| 3 | 0.000 |
| 4 | 0.000 |